Computed, not measured: a relaxed ScBeMo2 crystal at the PBE level of DFT.

The formation energy is 116.4 meV/atom. For the density of states at the Fermi level, the calculation gives 0.582 states/eV/atom. The mass density is 6.59 g/cm3.

The space group is Pmmm (No. 47) and the conventional cell measures 3.348, 4.199 and 4.407 Å, with angles of 90.00, 90.00 and 90.00 degrees. Symmetry generates all atoms from Sc at (0.000, 0.000, 0.000), Be at (0.500, 0.500, 0.000), Mo at (0.000, 0.500, 0.500) and Mo at (0.500, 0.000, 0.500).